*P*
Entry from the Alexandria database: an optimized crystal structure of CsSiAu3 (PBE).

Results
For the density of states at the Fermi level, the calculation gives 0.0 states/eV/f.u. Its space group is P2_1/c, No. 14.

Cell: 7.788 7.865 9.439 Å, 90.00 103.01 90.00°
Element x y z (fractional)
1 Cs 0.243 0.181 0.019
2 Cs 0.243 0.319 0.519
3 Cs 0.757 0.681 0.481
4 Cs 0.757 0.819 0.981
5 Si 0.186 0.690 0.838
6 Si 0.186 0.810 0.338
7 Si 0.814 0.190 0.662
8 Si 0.814 0.310 0.162
9 Au 0.030 0.539 0.220
10 Au 0.030 0.961 0.720
11 Au 0.283 0.727 0.104
12 Au 0.283 0.773 0.604
13 Au 0.450 0.526 0.845
14 Au 0.450 0.974 0.345
15 Au 0.550 0.026 0.655
16 Au 0.550 0.474 0.155
17 Au 0.717 0.227 0.396
18 Au 0.717 0.273 0.896
19 Au 0.970 0.039 0.280
20 Au 0.970 0.461 0.780

*Q*
Entry from the Alexandria database: an optimized crystal structure of CsSiAu3 (PBE).

Results
For the density of states at the Fermi level, the calculation gives 1.3 states/eV/f.u. Its space group is P-1, No. 2.

Cell: 6.707 6.855 6.933 Å, 60.91 68.63 87.90°
Element x y z (fractional)
1 Cs 0.248 0.327 0.008
2 Cs 0.752 0.673 0.992
3 Si 0.166 0.663 0.378
4 Si 0.834 0.337 0.622
5 Au 0.209 0.247 0.557
6 Au 0.259 0.861 0.948
7 Au 0.353 0.865 0.489
8 Au 0.647 0.135 0.511
9 Au 0.741 0.139 0.052
10 Au 0.791 0.753 0.443

*R*
Entry from the Alexandria database: an optimized crystal structure of CsSiAu3 (PBE).

Results
For the density of states at the Fermi level, the calculation gives 1.5 states/eV/f.u. Its space group is P1, No. 1.

Cell: 6.847 6.869 7.597 Å, 95.40 116.61 113.55°
Element x y z (fractional)
1 Cs 0.000 0.000 0.000
2 Cs 0.337 0.653 0.994
3 Si 0.453 0.166 0.621
4 Si 0.887 0.490 0.373
5 Au 0.170 0.328 0.497
6 Au 0.360 0.770 0.501
7 Au 0.611 0.513 0.494
8 Au 0.670 0.328 0.997
9 Au 0.729 0.142 0.500
10 Au 0.980 0.885 0.493

*S*
Entry from the Alexandria database: an optimized crystal structure of CsSiAu3 (PBE).

Results
For the density of states at the Fermi level, the calculation gives 2.0 states/eV/f.u. Its space group is Amm2, No. 38.

Cell: 4.608 5.379 13.489 Å, 90.00 90.00 90.00°
Element x y z (fractional)
1 Cs 0.000 0.000 0.000
2 Cs 0.000 0.500 0.500
3 Si 0.500 0.000 0.763
4 Si 0.500 0.500 0.263
5 Au 0.000 0.244 0.746
6 Au 0.000 0.256 0.246
7 Au 0.000 0.744 0.246
8 Au 0.000 0.756 0.746
9 Au 0.500 0.000 0.285
10 Au 0.500 0.500 0.785

Which is most stable, and by how much? *R*, by 66 meV/atom.

*P*
Entry from the Alexandria database: an optimized crystal structure of CsSiAu3 (PBE).

Results
For the density of states at the Fermi level, the calculation gives 0.7 states/eV/f.u. Its space group is P2_1/m, No. 11.

Cell: 4.890 7.215 8.179 Å, 90.00 94.62 90.00°
Element x y z (fractional)
1 Cs 0.206 0.250 0.116
2 Cs 0.794 0.750 0.884
3 Si 0.022 0.250 0.648
4 Si 0.978 0.750 0.352
5 Au 0.247 0.556 0.589
6 Au 0.247 0.944 0.589
7 Au 0.450 0.750 0.282
8 Au 0.550 0.250 0.718
9 Au 0.753 0.056 0.411
10 Au 0.753 0.444 0.411

*Q*
Entry from the Alexandria database: an optimized crystal structure of CsSiAu3 (PBE).

Results
For the density of states at the Fermi level, the calculation gives 1.9 states/eV/f.u. Its space group is Cmcm, No. 63.

Cell: 8.734 8.734 5.456 Å, 90.00 90.00 136.49°
Element x y z (fractional)
1 Cs 0.092 0.908 0.750
2 Cs 0.908 0.092 0.250
3 Si 0.372 0.628 0.750
4 Si 0.628 0.372 0.250
5 Au 0.003 0.564 0.250
6 Au 0.436 0.997 0.250
7 Au 0.500 0.500 0.000
8 Au 0.500 0.500 0.500
9 Au 0.564 0.003 0.750
10 Au 0.997 0.436 0.750

*R*
Entry from the Alexandria database: an optimized crystal structure of CsSiAu3 (PBE).

Results
For the density of states at the Fermi level, the calculation gives 1.0 states/eV/f.u. Its space group is Pm-3m, No. 221.

Cell: 5.905 5.905 5.905 Å, 90.00 90.00 90.00°
Element x y z (fractional)
1 Cs 0.000 0.000 0.000
2 Si 0.500 0.500 0.500
3 Au 0.000 0.000 0.500
4 Au 0.000 0.500 0.000
5 Au 0.500 0.000 0.000

Which is most stable, and by how much? *P*, by 75 meV/atom.

*P*
Entry from the Alexandria database: an optimized crystal structure of CsSiAu3 (PBE).

Results
For the density of states at the Fermi level, the calculation gives 2.2 states/eV/f.u. Its space group is C2/m, No. 12.

Cell: 9.126 9.126 8.052 Å, 112.33 112.33 29.02°
Element x y z (fractional)
1 Cs 0.127 0.127 0.073
2 Cs 0.873 0.873 0.927
3 Si 0.386 0.386 0.322
4 Si 0.614 0.614 0.678
5 Au 0.159 0.159 0.638
6 Au 0.296 0.296 0.508
7 Au 0.475 0.475 0.661
8 Au 0.525 0.525 0.339
9 Au 0.704 0.704 0.492
10 Au 0.841 0.841 0.362

*Q*
Entry from the Alexandria database: an optimized crystal structure of CsSiAu3 (PBE).

Results
For the density of states at the Fermi level, the calculation gives 0.2 states/eV/f.u. Its space group is Pnma, No. 62.

Cell: 8.166 7.483 9.497 Å, 90.00 90.00 90.00°
Element x y z (fractional)
1 Cs 0.000 0.000 0.000
2 Cs 0.000 0.500 0.000
3 Cs 0.500 0.000 0.500
4 Cs 0.500 0.500 0.500
5 Si 0.038 0.250 0.397
6 Si 0.462 0.750 0.897
7 Si 0.538 0.250 0.103
8 Si 0.962 0.750 0.603
9 Au 0.092 0.065 0.619
10 Au 0.092 0.435 0.619
11 Au 0.228 0.750 0.740
12 Au 0.272 0.250 0.240
13 Au 0.408 0.565 0.119
14 Au 0.408 0.935 0.119
15 Au 0.592 0.065 0.881
16 Au 0.592 0.435 0.881
17 Au 0.728 0.750 0.760
18 Au 0.772 0.250 0.260
19 Au 0.908 0.565 0.381
20 Au 0.908 0.935 0.381

Which is most stable, and by how much? *Q*, by 73 meV/atom.

*P*
Entry from the Alexandria database: an optimized crystal structure of CsSiAu3 (PBE).

Results
For the density of states at the Fermi level, the calculation gives 0.0 states/eV/f.u. Its space group is P4mm, No. 99.

Cell: 5.146 5.146 6.832 Å, 90.00 90.00 90.00°
Element x y z (fractional)
1 Cs 0.000 0.000 0.000
2 Si 0.500 0.500 0.407
3 Au 0.000 0.000 0.506
4 Au 0.000 0.500 0.447
5 Au 0.500 0.000 0.447

*Q*
Entry from the Alexandria database: an optimized crystal structure of CsSiAu3 (PBE).

Results
For the density of states at the Fermi level, the calculation gives 1.8 states/eV/f.u. Its space group is P2_1/m, No. 11.

Cell: 6.346 7.135 7.164 Å, 90.00 107.93 90.00°
Element x y z (fractional)
1 Cs 0.228 0.250 0.136
2 Cs 0.772 0.750 0.864
3 Si 0.133 0.750 0.474
4 Si 0.867 0.250 0.526
5 Au 0.221 0.052 0.637
6 Au 0.221 0.448 0.637
7 Au 0.385 0.750 0.291
8 Au 0.615 0.250 0.709
9 Au 0.779 0.552 0.363
10 Au 0.779 0.948 0.363

Which is most stable, and by how much? *Q*, by 183 meV/atom.